DFT (PBE) results for Ce2Pa3Co4 after structural relaxation.

Formation energy from the elements (eV/f.u.): -2.39
Total DFT energy (no corrections) (eV per cell): -142.339

The structure in POSCAR format:
```
Ce2Pa3Co4
1.0
0.167 5.085 -5.011
-5.559 -4.289 -0.384
-3.952 4.706 4.644
Ce Co Pa
4 8 6
Cartesian
-1.735 0.384 0.426 Ce
-7.609 5.119 -1.177 Ce
-2.210 3.592 -1.423 Ce
-7.134 1.911 0.672 Ce
-5.019 -0.517 -3.300 Co
-2.541 6.539 -1.954 Co
-5.102 4.008 -0.504 Co
-4.324 6.020 2.549 Co
-3.116 2.797 -3.977 Co
-6.227 2.706 3.226 Co
-4.242 1.495 -0.247 Co
-6.802 -1.036 1.203 Co
-4.755 0.209 2.130 Pa
-4.543 6.823 -0.006 Pa
-2.696 0.398 -2.698 Pa
-4.800 -1.320 -0.745 Pa
-5.455 2.101 -2.384 Pa
-3.889 3.402 1.633 Pa
```

***

DFT (PBE) results for CePaCo2 after structural relaxation.

Energy above the most stable polymorph in this dataset (meV/atom): 0
Formation energy from the elements (eV/f.u.): -1.36
Total DFT energy (no corrections) (eV per cell): -123.987

The structure in POSCAR format:
```
CePaCo2
1.0
4.817 0.000 0.000
0.000 6.241 0.000
0.000 0.000 9.731
Pa Ce Co
4 4 8
Cartesian
1.204 0.570 3.648 Pa
3.612 5.671 6.083 Pa
3.612 2.550 8.514 Pa
1.204 3.691 1.217 Pa
1.204 3.790 6.087 Ce
3.612 5.571 1.222 Ce
1.204 0.670 8.509 Ce
3.612 2.451 3.644 Ce
1.204 4.075 3.525 Co
3.612 2.165 6.205 Co
1.204 4.047 8.628 Co
3.612 5.314 3.762 Co
1.204 0.927 5.968 Co
1.204 0.955 1.340 Co
3.612 2.194 1.103 Co
3.612 5.286 8.391 Co
```

***

DFT (PBE) results for Ce2PaCo after structural relaxation.

Energy above the most stable polymorph in this dataset (meV/atom): 10
Formation energy from the elements (eV/f.u.): -0.07
Total DFT energy (no corrections) (eV per cell): -28.542

The structure in POSCAR format:
```
Ce2PaCo
1.0
1.707 3.086 0.335
-1.707 3.086 0.335
0.000 0.792 8.900
Co Ce Pa
1 2 1
Cartesian
0.000 1.140 0.209 Co
0.000 5.237 2.647 Ce
0.000 6.161 5.352 Ce
0.000 4.084 7.795 Pa
```

***

DFT (PBE) results for Ce2PaCo6 after structural relaxation.

Formation energy from the elements (eV/f.u.): 0.38
Total DFT energy (no corrections) (eV per cell): -63.619

The structure in POSCAR format:
```
Ce2PaCo6
1.0
-1.523 -1.004 2.821
5.206 -4.703 3.136
5.353 1.311 5.355
Ce Co Pa
2 6 1
Cartesian
1.085 -0.867 2.277 Ce
7.951 -3.529 9.036 Ce
5.847 -4.303 7.625 Co
3.190 -0.093 3.688 Co
5.322 0.048 4.889 Co
5.905 -1.935 8.499 Co
5.237 -3.440 3.602 Co
3.132 -2.461 2.814 Co
4.518 -2.198 5.656 Pa
```

***

DFT (PBE) results for CePa3Co after structural relaxation.

Formation energy from the elements (eV/f.u.): 1.23
Total DFT energy (no corrections) (eV per cell): -40.296

The structure in POSCAR format:
```
CePa3Co
1.0
-0.631 0.148 -5.034
-1.703 -4.781 0.074
-4.739 1.699 0.644
Co Pa Ce
1 3 1
Cartesian
0.000 0.000 0.000 Co
-2.370 0.849 0.322 Pa
-0.852 -2.390 0.037 Pa
-0.316 0.074 -2.517 Pa
-3.537 -1.467 -2.158 Ce
```

***

DFT (PBE) results for CePaCoRh after structural relaxation.

Formation energy from the elements (eV/f.u.): -1.97
Total DFT energy (no corrections) (eV per cell): -31.861

The structure in POSCAR format:
```
CePaCoRh
1.0
3.765 0.000 0.000
0.000 3.955 0.000
-1.883 0.000 5.472
Co Rh Pa Ce
1 1 1 1
Cartesian
0.000 0.000 4.362 Co
1.883 1.978 1.040 Rh
0.000 0.000 1.537 Pa
1.883 1.978 4.004 Ce
```